Here is a relaxed SrCeAgRh crystal from the Alexandria database. Energies are from PBE.

Unit cell a=5.182 b=5.182 c=5.182 alpha=60.00 beta=60.00 gamma=60.00
Atoms (fractional coordinates):
Sr 0.000 0.000 0.000
Ce 0.500 0.500 0.500
Ag 0.750 0.750 0.750
Rh 0.250 0.250 0.250

Calculated values
Crystal system: cubic
Total energy in eV per atom: -4.68
Volume in Å³/cell: 98.4

=====

Here is a relaxed NaCdSi2 crystal from the Alexandria database. Energies are from PBE.

Unit cell a=10.204 b=10.204 c=10.204 alpha=155.74 beta=155.74 gamma=34.57
Atoms (fractional coordinates):
Na 0.000 0.000 0.000
Na 0.750 0.250 0.500
Cd 0.250 0.750 0.500
Cd 0.500 0.500 0.000
Si 0.216 0.625 0.091
Si 0.375 0.466 0.591
Si 0.534 0.125 0.909
Si 0.875 0.784 0.409

Calculated values
E above lowest polymorph in kJ per mole of atoms: 0.0
Crystal system: tetragonal
Total energy in eV per atom: -2.86
Volume in Å³/cell: 179.1

=====

Here is a relaxed YBe2Co3 crystal from the Alexandria database. Energies are from PBE.

Unit cell a=4.950 b=4.950 c=3.483 alpha=90.00 beta=90.00 gamma=120.00
Atoms (fractional coordinates):
Y 0.000 0.000 0.000
Be 0.333 0.667 0.000
Be 0.667 0.333 0.000
Co 0.000 0.500 0.500
Co 0.500 0.000 0.500
Co 0.500 0.500 0.500

Calculated values
Crystal system: hexagonal
Total energy in eV per atom: -6.14
Volume in Å³/cell: 73.9

=====

Here is a relaxed VCoPd3 crystal from the Alexandria database. Energies are from PBE.

Unit cell a=4.560 b=4.560 c=4.560 alpha=90.00 beta=90.00 gamma=90.00
Atoms (fractional coordinates):
V 0.000 0.000 0.000
Co 0.500 0.500 0.500
Pd 0.000 0.000 0.500
Pd 0.000 0.500 0.000
Pd 0.500 0.000 0.000

Calculated values
E above lowest polymorph in kJ per mole of atoms: 13.3
Crystal system: cubic
Total energy in eV per atom: -5.33
Volume in Å³/cell: 94.8

=====

Here is a relaxed CsGeSe2 crystal from the Alexandria database. Energies are from PBE.

Unit cell a=9.866 b=9.866 c=9.866 alpha=23.19 beta=23.19 gamma=23.19
Atoms (fractional coordinates):
Cs 0.000 0.000 0.000
Ge 0.500 0.500 0.500
Se 0.116 0.116 0.116
Se 0.884 0.884 0.884

Calculated values
Crystal system: trigonal
Total energy in eV per atom: -3.35
Volume in Å³/cell: 130.7

=====

Here is a relaxed ZrAg2Au crystal from the Alexandria database. Energies are from PBE.

Unit cell a=4.465 b=4.465 c=4.929 alpha=117.03 beta=117.03 gamma=89.80
Atoms (fractional coordinates):
Zr 0.000 0.000 0.000
Ag 0.250 0.750 0.500
Ag 0.500 0.500 0.000
Au 0.749 0.251 0.500

Calculated values
E above lowest polymorph in kJ per mole of atoms: 0.0
Crystal system: monoclinic
Total energy in eV per atom: -4.57
Volume in Å³/cell: 75.3

=====

Here is a relaxed Pm4Sn2Ir crystal from the Alexandria database. Energies are from PBE.

Unit cell a=6.266 b=6.266 c=8.881 alpha=119.64 beta=119.64 gamma=43.71
Atoms (fractional coordinates):
Pm 0.073 0.073 0.355
Pm 0.329 0.329 0.939
Pm 0.671 0.671 0.061
Pm 0.927 0.927 0.645
Sn 0.355 0.355 0.340
Sn 0.645 0.645 0.660
Ir 0.000 0.000 0.000

Calculated values
Crystal system: monoclinic
Total energy in eV per atom: -5.81
Volume in Å³/cell: 203.9

=====

Here is a relaxed CuReOs2 crystal from the Alexandria database. Energies are from PBE.

Unit cell a=4.660 b=4.660 c=2.748 alpha=90.00 beta=90.00 gamma=108.71
Atoms (fractional coordinates):
Cu 0.000 0.000 0.000
Re 0.500 0.500 0.000
Os 0.000 0.500 0.500
Os 0.500 0.000 0.500

Calculated values
E above lowest polymorph in kJ per mole of atoms: 18.0
Crystal system: orthorhombic
Total energy in eV per atom: -9.38
Volume in Å³/cell: 56.5

=====

Here is a relaxed PmPrPdRh crystal from the Alexandria database. Energies are from PBE.

Unit cell a=4.514 b=5.764 c=5.764 alpha=39.37 beta=90.00 gamma=90.00
Atoms (fractional coordinates):
Pm 0.000 0.000 0.000
Pr 0.500 0.277 0.277
Pd 0.000 0.719 0.719
Rh 0.500 0.546 0.546

Calculated values
E above lowest polymorph in kJ per mole of atoms: 0.0
Crystal system: orthorhombic
Total energy in eV per atom: -6.27
Volume in Å³/cell: 95.1

=====

Here is a relaxed La4Sm3Er4 crystal from the Alexandria database. Energies are from PBE.

Unit cell a=10.809 b=6.684 c=6.684 alpha=51.19 beta=90.00 gamma=90.00
Atoms (fractional coordinates):
La 0.000 0.000 0.000
La 0.208 0.803 0.803
La 0.500 0.919 0.919
La 0.792 0.803 0.803
Sm 0.000 0.293 0.293
Sm 0.288 0.456 0.456
Sm 0.712 0.456 0.456
Er 0.000 0.596 0.596
Er 0.307 0.149 0.149
Er 0.500 0.645 0.645
Er 0.693 0.149 0.149

Calculated values
E above lowest polymorph in kJ per mole of atoms: 12.0
Crystal system: orthorhombic
Total energy in eV per atom: -4.59
Volume in Å³/cell: 376.3

=====

Here is a relaxed SrAsSe2N crystal from the Alexandria database. Energies are from PBE.

Unit cell a=4.945 b=4.945 c=4.211 alpha=90.00 beta=90.00 gamma=90.00
Atoms (fractional coordinates):
Sr 0.000 0.000 0.000
As 0.500 0.500 0.000
Se 0.000 0.500 0.500
Se 0.500 0.000 0.500
N 0.500 0.500 0.500

Calculated values
E above lowest polymorph in kJ per mole of atoms: 20.2
Crystal system: tetragonal
Total energy in eV per atom: -4.27
Volume in Å³/cell: 103.0

=====

Here is a relaxed NaLaTb2 crystal from the Alexandria database. Energies are from PBE.

Unit cell a=13.010 b=13.010 c=13.010 alpha=15.69 beta=15.69 gamma=15.69
Atoms (fractional coordinates):
Na 0.000 0.000 0.000
La 0.500 0.500 0.500
Tb 0.091 0.091 0.091
Tb 0.909 0.909 0.909

Calculated values
E above lowest polymorph in kJ per mole of atoms: 2.3
Crystal system: trigonal
Total energy in eV per atom: -3.70
Volume in Å³/cell: 140.4

=====

Here is a relaxed YMg2Pt3 crystal from the Alexandria database. Energies are from PBE.

Unit cell a=3.393 b=3.393 c=9.336 alpha=90.00 beta=90.00 gamma=90.00
Atoms (fractional coordinates):
Y 0.000 0.000 0.000
Mg 0.000 0.000 0.345
Mg 0.000 0.000 0.655
Pt 0.500 0.500 0.185
Pt 0.500 0.500 0.500
Pt 0.500 0.500 0.815

Calculated values
Crystal system: tetragonal
Total energy in eV per atom: -5.59
Volume in Å³/cell: 107.5